# 1
## LiBi5S8 (PBE)

Data for a relaxed structure of LiBi5S8.

Cell: 8.267 8.267 8.267 Å, 60.00 60.00 60.00°
Sites, in units of the cell vectors:
Li 0.250 0.250 0.250
Bi 0.000 0.000 0.000
Bi 0.620 0.620 0.139
Bi 0.620 0.620 0.620
Bi 0.139 0.620 0.620
Bi 0.620 0.139 0.620
S 0.381 0.856 0.381
S 0.856 0.381 0.381
S 0.381 0.381 0.381
S 0.381 0.381 0.856
S 0.867 0.867 0.398
S 0.398 0.867 0.867
S 0.867 0.867 0.867
S 0.867 0.398 0.867

Output
The total energy comes out at -4.324 eV/atom. For the uncorrected formation energy, the calculation gives -0.4426 eV per atom. The total magnetic moment comes out at 0.0000 μB/atom.

***

# 2
## RuIN2 (PBE)

Data for a relaxed structure of RuIN2.

Cell: 4.084 4.084 4.084 Å, 60.00 60.00 60.00°
Sites, in units of the cell vectors:
I 0.500 0.500 0.500
Ru 0.000 0.000 0.000
N 0.250 0.250 0.250
N 0.750 0.750 0.750

Output
The total energy comes out at -4.816 eV/atom. For the uncorrected formation energy, the calculation gives 2.0534 eV per atom. The total magnetic moment comes out at 0.0000 μB/atom.